Entry 1:
The following is a DFT calculation (PBE-GGA) of a relaxed structure of AgSe2O5.

abc: 6.7839 11.6513 6.5373
angles: 90.00 90.00 90.00
Closest atoms and distances in Å follow each position.
Space group Pbcn (No. 60)
Symmetry-distinct sites (fractional):
1 Ag 0.0000 0.0671 0.2500  6 O 2.18-2.44
2 Se 0.1309 0.3429 0.0435  3 O 1.69-1.87
3 O 0.0000 0.4243 0.2500  2 Se 1.87
4 O 0.1661 0.0650 0.5353  1 Se 1.75
5 O 0.2177 0.2272 0.1701  1 Se 1.69

As for the crystal system: orthorhombic. The uncorrected formation energy is -549.3 meV per atom. As for the total magnetic moment: 0.000 μB per atom.

***

Entry 2:
The following is a DFT calculation (PBE-GGA) of a relaxed structure of Ag4SeO4.

abc: 8.9397 8.9397 3.2886
angles: 90.00 90.00 90.00
Closest atoms and distances in Å follow each position.
Space group I4/m (No. 87)
Symmetry-distinct sites (fractional):
1 Ag 0.1100 0.3543 0.0000  3 O 2.37
2 Se 0.0000 0.0000 0.5000  4 O 1.85
3 O 0.1257 0.1640 0.5000  1 Se 1.85

As for the crystal system: tetragonal. The uncorrected formation energy is -122.8 meV per atom. As for the total magnetic moment: 0.000 μB per atom.

***

Entry 3:
The following is a DFT calculation (PBE-GGA) of a relaxed structure of Ag5SeO2.

abc: 4.4036 11.7239 11.8482
angles: 90.00 90.00 90.00
Closest atoms and distances in Å follow each position.
Space group Cmcm (No. 63)
Symmetry-distinct sites (fractional):
1 Ag 0.0000 0.0198 0.1234  1 O 2.18
2 Ag 0.0000 0.1898 0.7500  2 O 2.24
3 Ag 0.0000 0.3643 0.0153  2 O 2.29
4 Se 0.0000 0.1891 0.2500  4 Ag 2.49-2.62
5 O 0.0000 0.1560 0.5636  4 Ag 2.18-2.29

As for the crystal system: orthorhombic. The uncorrected formation energy is 25.3 meV per atom. As for the total magnetic moment: 0.000 μB per atom.

***

Entry 4:
The following is a DFT calculation (PBE-GGA) of a relaxed structure of Ag3SeO6.

abc: 9.2380 9.2380 10.9711
angles: 90.00 90.00 120.00
Closest atoms and distances in Å follow each position.
Space group R-3 (No. 148, hexagonal axes)
Symmetry-distinct sites (fractional):
1 Ag 0.0598 0.7897 0.1930  3 O 2.14-2.36
2 Se 0.0000 0.0000 0.0000  6 O 1.85
3 Se 0.0000 0.0000 0.5000  6 O 1.85
4 O 0.0528 0.8689 0.4038  1 Se 1.85
5 O 0.0549 0.8721 0.9017  1 Se 1.85

As for the crystal system: trigonal. The uncorrected formation energy is -187.3 meV per atom. As for the total magnetic moment: 0.000 μB per atom. For the energy above the most stable polymorph in this dataset, the calculation gives 53.6 meV/atom.

***

Entry 5:
The following is a DFT calculation (PBE-GGA) of a relaxed structure of Ag2SeO4.

abc: 6.1142 6.1142 6.5864
angles: 90.00 90.00 90.00
Closest atoms and distances in Å follow each position.
Space group I-42m (No. 121)
Symmetry-distinct sites (fractional):
1 Ag 0.0000 0.5000 0.2500  4 O 2.40
2 Se 0.0000 0.0000 0.0000  4 O 1.69
3 O 0.1622 0.1622 0.1431  1 Se 1.69

As for the crystal system: tetragonal. The uncorrected formation energy is -425.7 meV per atom. As for the total magnetic moment: 0.000 μB per atom. For the energy above the most stable polymorph in this dataset, the calculation gives 10.5 meV/atom.

***

Entry 6:
The following is a DFT calculation (PBE-GGA) of a relaxed structure of AgSe3O.

abc: 4.5518 4.5518 4.5518
angles: 90.00 90.00 90.00
Closest atoms and distances in Å follow each position.
Space group Pm-3m (No. 221)
Symmetry-distinct sites (fractional):
1 Ag 0.0000 0.0000 0.0000  12 Se 3.22
2 Se 0.0000 0.5000 0.5000  2 O 2.28
3 O 0.5000 0.5000 0.5000  6 Se 2.28

As for the crystal system: cubic. The uncorrected formation energy is 493.9 meV per atom. As for the total magnetic moment: 0.000 μB per atom. For the energy above the most stable polymorph in this dataset, the calculation gives 0.0 meV/atom.

***

Please write out number 6 again, unchanged.
The following is a DFT calculation (PBE-GGA) of a relaxed structure of AgSe3O.

abc: 4.5518 4.5518 4.5518
angles: 90.00 90.00 90.00
Closest atoms and distances in Å follow each position.
Space group Pm-3m (No. 221)
Symmetry-distinct sites (fractional):
1 Ag 0.0000 0.0000 0.0000  12 Se 3.22
2 Se 0.0000 0.5000 0.5000  2 O 2.28
3 O 0.5000 0.5000 0.5000  6 Se 2.28

As for the crystal system: cubic. The uncorrected formation energy is 493.9 meV per atom. As for the total magnetic moment: 0.000 μB per atom. For the energy above the most stable polymorph in this dataset, the calculation gives 0.0 meV/atom.

***

> Which formula does entry 3 have?

Ag5SeO2

***

> Look up the total magnetic moment of the fourth one.

0.000 μB per atom